LaNdCd2In2: relaxed, PBE-GGA.

Summary:
- Crystal system: trigonal
- E_form: -263 kJ/mol of formula units

a b c (Å): 4.9841 4.9841 7.6953
angles (deg): 90.00 90.00 120.00
With the nearest neighbours (Å) after each atom.
Space group P-3m1 (No. 164)
Asymmetric unit:
La 0.0000 0.0000 0.0000  6 In 3.49, 6 Cd 3.56, 2 Nd 3.85
Nd 0.0000 0.0000 0.5000  6 Cd 3.37, 6 In 3.44
Cd 0.3333 0.6667 0.2718  3 In 2.88
In 0.3333 0.6667 0.7438  3 Cd 2.88

***

LaNd2Cd2In2: relaxed, PBE-GGA.

Summary:
- Crystal system: trigonal
- E_form: -213 kJ/mol of formula units

a b c (Å): 5.0229 5.0229 27.9604
angles (deg): 90.00 90.00 120.00
With the nearest neighbours (Å) after each atom.
Space group R-3m (No. 166, hexagonal axes)
Asymmetric unit:
La 0.0000 0.0000 0.0000  6 In 3.52, 6 Cd 3.55, 2 Nd 3.63
Nd 0.0000 0.0000 0.1299  3 Cd 3.30, 4 In 3.33-3.69, 3 Nd 3.55, 1 La 3.63
Cd 0.0000 0.0000 0.4066  3 In 2.90
In 0.0000 0.0000 0.2620  3 Cd 2.90

***

LaCdInNi: relaxed, PBE-GGA.

Summary:
- Crystal system: cubic
- E_form: -89 kJ/mol of formula units

a b c (Å): 7.1058 7.1058 7.1058
angles (deg): 90.00 90.00 90.00
With the nearest neighbours (Å) after each atom.
Space group F-43m (No. 216)
Asymmetric unit:
La 0.0000 0.0000 0.0000  4 Cd 3.08, 4 Ni 3.08
Cd 0.2500 0.2500 0.2500  4 In 3.08, 4 La 3.08
In 0.0000 0.0000 0.5000  4 Cd 3.08, 4 Ni 3.08
Ni 0.2500 0.2500 0.7500  4 In 3.08, 4 La 3.08

***

LaCdIn2Ni: relaxed, PBE-GGA.

Summary:
- ΔE to the lowest computed polymorph: 0.06 eV/f.u.
- Crystal system: tetragonal
- E_form: -125 kJ/mol of formula units

a b c (Å): 4.9622 4.9622 5.0052
angles (deg): 90.00 90.00 90.00
With the nearest neighbours (Å) after each atom.
Space group P4/mmm (No. 123)
Asymmetric unit:
La 0.0000 0.0000 0.0000  4 Cd 3.51, 8 In 3.52
Cd 0.5000 0.5000 0.0000  2 Ni 2.50
In 0.0000 0.5000 0.5000  2 Ni 2.48
Ni 0.5000 0.5000 0.5000  4 In 2.48, 2 Cd 2.50

***

LaCdIn2Ni: relaxed, PBE-GGA.

Summary:
- ΔE to the lowest computed polymorph: 0.00 eV/f.u.
- Crystal system: tetragonal
- E_form: -130 kJ/mol of formula units

a b c (Å): 5.0491 5.0491 5.1277
angles (deg): 90.00 90.00 90.00
With the nearest neighbours (Å) after each atom.
Space group P4/mmm (No. 123)
Asymmetric unit:
La 0.0000 0.0000 0.0000  2 Ni 2.56
Cd 0.5000 0.5000 0.0000  4 La 3.57, 8 In 3.60
In 0.0000 0.5000 0.5000  2 Ni 2.52
Ni 0.0000 0.0000 0.5000  4 In 2.52, 2 La 2.56

***

La4CdInO: relaxed, PBE-GGA.

Summary:
- Crystal system: orthorhombic
- E: -5.036 eV/atom

a b c (Å): 7.0515 16.7766 7.0635
angles (deg): 90.00 90.00 90.00
With the nearest neighbours (Å) after each atom.
Space group Cmcm (No. 63)
Asymmetric unit:
La 0.0000 0.0789 0.2500  1 O 2.83
La 0.0000 0.4202 0.2500  1 O 2.89, 1 In 3.23
La 0.2500 0.2500 0.0000  2 O 2.50
Cd 0.0000 0.1154 0.7500  9 La 3.26-3.58
In 0.0000 0.3869 0.7500  9 La 3.23-3.58
O 0.0000 0.2477 0.2500  4 La 2.50

***

LaCdInP2: relaxed, PBE-GGA.

Summary:
- Crystal system: tetragonal
- E_form: 144 kJ/mol of formula units

a b c (Å): 5.4688 5.4688 5.4890
angles (deg): 90.00 90.00 90.00
With the nearest neighbours (Å) after each atom.
Space group P4/mmm (No. 123)
Asymmetric unit:
La 0.0000 0.0000 0.0000  4 Cd 3.87, 8 P 3.87
Cd 0.5000 0.5000 0.0000  2 In 2.74
In 0.5000 0.5000 0.5000  4 P 2.73, 2 Cd 2.74
P 0.0000 0.5000 0.5000  2 In 2.73

***

La2CdIn2Pd5: relaxed, PBE-GGA.

Summary:
- Crystal system: tetragonal
- E_form: -505 kJ/mol of formula units

a b c (Å): 10.9019 10.9019 3.6025
angles (deg): 90.00 90.00 90.00
With the nearest neighbours (Å) after each atom.
Space group P4/mbm (No. 127)
Asymmetric unit:
La 0.1711 0.3289 0.0000  3 In 3.07-3.31, 6 Pd 3.19-3.24
Cd 0.0000 0.0000 0.0000  8 Pd 2.86
In 0.1299 0.6299 0.0000  6 Pd 2.69-2.77
Pd 0.0000 0.5000 0.5000  4 In 2.69
Pd 0.0395 0.8006 0.5000  2 In 2.77, 2 Cd 2.86

***

LaCd2InPd2: relaxed, PBE-GGA.

Summary:
- Crystal system: tetragonal
- E_form: -171 kJ/mol of formula units

a b c (Å): 5.3770 5.3770 10.7754
angles (deg): 90.00 90.00 90.00
With the nearest neighbours (Å) after each atom.
Space group I4/mmm (No. 139)
Asymmetric unit:
La 0.0000 0.0000 0.0000  2 Pd 2.76
Cd 0.0000 0.5000 0.2500  4 Pd 2.69
In 0.0000 0.0000 0.5000  2 Pd 2.63
Pd 0.0000 0.0000 0.2561  1 In 2.63, 4 Cd 2.69, 1 La 2.76

***

LaCd2InPd4: relaxed, PBE-GGA.

Summary:
- Crystal system: trigonal
- E_form: -418 kJ/mol of formula units

a b c (Å): 4.7959 4.7959 23.5149
angles (deg): 90.00 90.00 120.00
With the nearest neighbours (Å) after each atom.
Space group R-3m (No. 166, hexagonal axes)
Asymmetric unit:
La 0.0000 0.0000 0.0000  8 Pd 3.02
Cd 0.0000 0.0000 0.2490  7 Pd 2.84-2.96
In 0.0000 0.0000 0.5000  8 Pd 2.70-2.91
Pd 0.0000 0.0000 0.1283  4 Cd 2.84-2.96, 3 In 2.91, 1 La 3.02
Pd 0.0000 0.0000 0.3851  1 In 2.70, 3 Cd 2.87, 3 La 3.02

***

LaPmCdIn: relaxed, PBE-GGA.

Summary:
- Crystal system: cubic
- E_form: -162 kJ/mol of formula units

a b c (Å): 7.8051 7.8051 7.8051
angles (deg): 90.00 90.00 90.00
With the nearest neighbours (Å) after each atom.
Space group F-43m (No. 216)
Asymmetric unit:
La 0.0000 0.0000 0.0000  4 Cd 3.38, 4 In 3.38
Pm 0.0000 0.0000 0.5000  4 Cd 3.38, 4 In 3.38
Cd 0.2500 0.2500 0.7500  4 La 3.38, 4 Pm 3.38
In 0.2500 0.2500 0.2500  4 La 3.38, 4 Pm 3.38

***

La5PrCd2In: relaxed, PBE-GGA.

Summary:
- Crystal system: tetragonal
- E_form: -108 kJ/mol of formula units

a b c (Å): 7.8300 7.8300 19.9951
angles (deg): 90.00 90.00 90.00
With the nearest neighbours (Å) after each atom.
Space group I4/mcm (No. 140)
Asymmetric unit:
La 0.0000 0.0000 0.0000  4 Cd 3.12
La 0.2103 0.2897 0.1342  1 Cd 3.27, 1 In 3.28, 2 Pr 3.64
Pr 0.0000 0.0000 0.2500  8 La 3.64, 4 In 3.92
Cd 0.1200 0.3800 0.5000  1 Cd 2.66
In 0.0000 0.5000 0.2500  4 La 3.28

***

La2PrCd2In2: relaxed, PBE-GGA.

Summary:
- Crystal system: trigonal
- E_form: -222 kJ/mol of formula units

a b c (Å): 5.0202 5.0202 28.0748
angles (deg): 90.00 90.00 120.00
With the nearest neighbours (Å) after each atom.
Space group R-3m (No. 166, hexagonal axes)
Asymmetric unit:
La 0.0000 0.0000 0.1308  4 In 3.37-3.74, 3 Cd 3.42, 3 La 3.53, 1 Pr 3.67
Pr 0.0000 0.0000 0.0000  6 Cd 3.44, 6 In 3.49, 2 La 3.67
Cd 0.0000 0.0000 0.3992  3 In 2.90
In 0.0000 0.0000 0.2638  3 Cd 2.90

***

LaPr5Cd2In: relaxed, PBE-GGA.

Summary:
- Crystal system: tetragonal
- E_form: -66 kJ/mol of formula units

a b c (Å): 8.7199 8.7199 15.7307
angles (deg): 90.00 90.00 90.00
With the nearest neighbours (Å) after each atom.
Space group I4/mcm (No. 140)
Asymmetric unit:
La 0.0000 0.0000 0.2500  10 Pr 3.65-3.93
Pr 0.0000 0.0000 0.0000  4 Cd 3.53, 8 Pr 3.75, 2 La 3.93
Pr 0.2030 0.2970 0.1311  1 Cd 3.10, 1 In 3.12
Cd 0.1099 0.3901 0.5000  1 Cd 2.71
In 0.0000 0.5000 0.2500  4 Pr 3.12

***

LaPrCdIn: relaxed, PBE-GGA.

Summary:
- Crystal system: cubic
- E_form: -162 kJ/mol of formula units

a b c (Å): 7.8551 7.8551 7.8551
angles (deg): 90.00 90.00 90.00
With the nearest neighbours (Å) after each atom.
Space group F-43m (No. 216)
Asymmetric unit:
La 0.0000 0.0000 0.0000  4 Cd 3.40, 4 In 3.40
Pr 0.0000 0.0000 0.5000  4 Cd 3.40, 4 In 3.40
Cd 0.2500 0.2500 0.7500  4 La 3.40, 4 Pr 3.40
In 0.2500 0.2500 0.2500  4 La 3.40, 4 Pr 3.40

***

RbLaCdIn2: relaxed, PBE-GGA.

Summary:
- Crystal system: tetragonal
- E_form: 155 kJ/mol of formula units

a b c (Å): 5.5437 5.5437 5.8745
angles (deg): 90.00 90.00 90.00
With the nearest neighbours (Å) after each atom.
Space group P4/mmm (No. 123)
Asymmetric unit:
Rb 0.0000 0.0000 0.0000  2 Cd 2.94
La 0.5000 0.5000 0.0000  4 Rb 3.92, 8 In 4.04
Cd 0.0000 0.0000 0.5000  4 In 2.77, 2 Rb 2.94
In 0.0000 0.5000 0.5000  2 Cd 2.77

***

La2CdInRh: relaxed, PBE-GGA.

Summary:
- ΔE to the lowest computed polymorph: 0.09 eV/f.u.
- Crystal system: tetragonal
- E_form: -206 kJ/mol of formula units

a b c (Å): 5.4159 5.4159 5.2625
angles (deg): 90.00 90.00 90.00
With the nearest neighbours (Å) after each atom.
Space group P4/mmm (No. 123)
Asymmetric unit:
La 0.0000 0.5000 0.0000  2 Rh 2.71
Cd 0.0000 0.0000 0.5000  2 Rh 2.63
In 0.5000 0.5000 0.5000  8 La 3.78, 4 Cd 3.83
Rh 0.0000 0.0000 0.0000  2 Cd 2.63, 4 La 2.71

***

La2CdInRh: relaxed, PBE-GGA.

Summary:
- ΔE to the lowest computed polymorph: 0.00 eV/f.u.
- Crystal system: tetragonal
- E_form: -215 kJ/mol of formula units

a b c (Å): 5.4676 5.4676 5.2116
angles (deg): 90.00 90.00 90.00
With the nearest neighbours (Å) after each atom.
Space group P4/mmm (No. 123)
Asymmetric unit:
La 0.0000 0.5000 0.0000  2 Rh 2.73
Cd 0.0000 0.0000 0.5000  8 La 3.78, 4 In 3.87
In 0.5000 0.5000 0.5000  2 Rh 2.61
Rh 0.5000 0.5000 0.0000  2 In 2.61, 4 La 2.73

***

LaCdIn2Ru: relaxed, PBE-GGA.

Summary:
- Crystal system: tetragonal
- E_form: -104 kJ/mol of formula units

a b c (Å): 5.2692 5.2692 5.2098
angles (deg): 90.00 90.00 90.00
With the nearest neighbours (Å) after each atom.
Space group P4/mmm (No. 123)
Asymmetric unit:
La 0.0000 0.0000 0.0000  2 Ru 2.60
Cd 0.5000 0.5000 0.0000  8 In 3.70, 4 La 3.73
In 0.0000 0.5000 0.5000  2 Ru 2.63
Ru 0.0000 0.0000 0.5000  2 La 2.60, 4 In 2.63

***

LaCdIn2S: relaxed, PBE-GGA.

Summary:
- Crystal system: tetragonal
- E: -2.204 eV/atom

a b c (Å): 6.1842 6.1842 6.0093
angles (deg): 90.00 90.00 90.00
With the nearest neighbours (Å) after each atom.
Space group P4/mmm (No. 123)
Asymmetric unit:
La 0.0000 0.0000 0.0000  2 Cd 3.00, 4 In 3.09
Cd 0.0000 0.0000 0.5000  2 La 3.00
In 0.0000 0.5000 0.0000  2 La 3.09
S 0.5000 0.5000 0.5000  8 In 4.31, 4 Cd 4.37

***

Number 1: DOS(E_F) 0.639 states/eV/atom. Number 2: DOS(E_F) 0.596 states/eV/atom. Number 3: DOS(E_F) 0.812 states/eV/atom. Number 4: DOS(E_F) 0.736 states/eV/atom. Number 5: DOS(E_F) 0.825 states/eV/atom. Number 6: DOS(E_F) 1.124 states/eV/atom. Number 7: DOS(E_F) 0.756 states/eV/atom. Number 8: DOS(E_F) 0.596 states/eV/atom. Number 9: DOS(E_F) 0.594 states/eV/atom. Number 10: DOS(E_F) 0.508 states/eV/atom. Number 11: DOS(E_F) 1.400 states/eV/atom. Number 12: DOS(E_F) 1.427 states/eV/atom. Number 13: DOS(E_F) 0.691 states/eV/atom. Number 14: DOS(E_F) 1.332 states/eV/atom. Number 15: DOS(E_F) 1.422 states/eV/atom. Number 16: DOS(E_F) 0.161 states/eV/atom. Number 17: DOS(E_F) 0.704 states/eV/atom. Number 18: DOS(E_F) 1.155 states/eV/atom. Number 19: DOS(E_F) 0.594 states/eV/atom. Number 20: DOS(E_F) 0.900 states/eV/atom.